(1)
Computed, not measured: an optimized crystal structure of CaBS2 at the PBE level of DFT.

## Properties
Symmetry: No. 14

abc: 8.4294 7.1662 6.5520
angles: 112.36 90.00 90.00
Atoms (fractional coordinates):
Ca  0.1356  0.2548  0.0169
Ca  0.3644  0.7548  0.5169
Ca  0.8644  0.7452  0.9831
Ca  0.6356  0.2452  0.4831
B  0.8002  0.2392  0.8641
B  0.3002  0.2608  0.6359
B  0.1998  0.7608  0.1359
B  0.6998  0.7392  0.3641
S  0.4406  0.1965  0.7988
S  0.1758  0.8221  0.8992
S  0.9406  0.3035  0.7012
S  0.5594  0.8035  0.2012
S  0.8242  0.1779  0.1008
S  0.6758  0.6779  0.6008
S  0.3242  0.3221  0.3992
S  0.0594  0.6965  0.2988

(2)
Computed, not measured: an optimized crystal structure of KSr2NF at the PBE level of DFT.

## Properties
Symmetry: No. 123
D(E_F): 2.37 states/eV per cell

abc: 5.0647 4.8600 5.0647
angles: 90.00 90.00 90.00
Atoms (fractional coordinates):
Sr  0.0000  0.0000  0.5000
Sr  0.5000  0.0000  0.0000
K  0.0000  0.5000  0.0000
N  0.5000  0.5000  0.5000
F  0.0000  0.0000  0.0000

(3)
Computed, not measured: an optimized crystal structure of CaTlCl4 at the PBE level of DFT.

## Properties
Symmetry: No. 216
D(E_F): 4.38 states/eV per cell

abc: 6.1008 6.1008 6.1008
angles: 60.00 60.00 60.00
Last column: magnetic moment on the atom in μB.
Atoms (fractional coordinates):
Ca  0.0000  0.0000  0.0000  0.00
Tl  0.7500  0.7500  0.7500  0.00
Cl  0.8762  0.3746  0.3746  0.22
Cl  0.3746  0.3746  0.8762  0.22
Cl  0.3746  0.8762  0.3746  0.22
Cl  0.3746  0.3746  0.3746  0.22

(4)
Computed, not measured: an optimized crystal structure of Tb4SmTmSe8 at the PBE level of DFT.

## Properties
Symmetry: No. 160
D(E_F): 8.76 states/eV per cell

abc: 8.4641 8.4641 8.4424
angles: 59.92 59.92 60.00
Atoms (fractional coordinates):
Tb  0.6241  0.6241  0.1278
Tb  0.9995  0.5013  0.4998
Tb  0.5013  0.9995  0.4998
Tb  0.9995  0.9995  0.4998
Sm  0.3758  0.3758  0.8726
Tm  0.9998  0.9998  0.0007
Se  0.2374  0.7795  0.7456
Se  0.7795  0.2374  0.7456
Se  0.2374  0.2374  0.7456
Se  0.2415  0.2415  0.2756
Se  0.7610  0.2258  0.2522
Se  0.2258  0.7610  0.2522
Se  0.7610  0.7610  0.2522
Se  0.7565  0.7565  0.7306

Number 1: formation energy without anion corrections -3.19 eV per formula unit, total moment 0.00 Bohr magnetons per cell. Number 2: formation energy without anion corrections -2.18 eV per formula unit, total moment 0.00 Bohr magnetons per cell. Number 3: formation energy without anion corrections -3.57 eV per formula unit, total moment 1.05 Bohr magnetons per cell. Number 4: formation energy without anion corrections -24.01 eV per formula unit, total moment 0.00 Bohr magnetons per cell.